No. 1
{"formula": "Zn2TePb", "functional": "PBE-GGA", "state": "relaxed", "lattice_angstrom": [[5.6158, 0.0336, -0.0465], [1.1880, 5.4888, 0.0465], [-2.5710, -3.7849, 3.2565]], "species": ["Pb", "Te", "Zn", "Zn"], "frac_coords": [[0.2500, 0.7500, 0.5000], [0.7500, 0.2500, 0.5000], [0.9879, 0.9879, 0.0000], [0.5121, 0.5121, 0.0000]], "relative_energy_mev_per_atom": 161.8, "sg": "Immm (71)", "final_energy_ev_per_fu": -8.9, "n_ef_per_ev_fu": 2.17}


No. 2
{"formula": "Zn2TePb", "functional": "PBE-GGA", "state": "relaxed", "lattice_angstrom": [[-0.9056, 4.6573, -1.0704], [-3.4072, -1.3933, -3.1790], [-2.8360, 0.1337, 2.9809]], "species": ["Pb", "Te", "Zn", "Zn"], "frac_coords": [[0.5000, 0.0000, 0.5000], [0.0000, 0.5000, 0.5000], [0.0000, 0.0000, 0.0000], [0.5000, 0.5000, 0.0000]], "relative_energy_mev_per_atom": 188.2, "sg": "P4/mmm (123)", "final_energy_ev_per_fu": -8.8, "n_ef_per_ev_fu": 1.98}


No. 3
{"formula": "ZnTe2Pb", "functional": "PBE-GGA", "state": "relaxed", "lattice_angstrom": [[-2.5136, -6.4905, -0.5318], [-0.1640, -6.4721, 2.6103], [-3.1161, 2.7872, 2.3137]], "species": ["Pb", "Te", "Te", "Zn"], "frac_coords": [[0.2500, 0.2500, 0.2500], [0.9929, 0.9929, 0.9931], [0.5071, 0.5071, 0.5069], [0.7500, 0.7500, 0.7500]], "relative_energy_mev_per_atom": 383.3, "sg": "C2/m (12)", "final_energy_ev_per_fu": -11.0, "n_ef_per_ev_fu": 2.09}


No. 4
{"formula": "ZnTe2Pb", "functional": "PBE-GGA", "state": "relaxed", "lattice_angstrom": [[-1.0103, -0.8281, 4.2481], [4.1598, -2.2965, 0.5416], [6.2806, 3.7798, 2.2305]], "species": ["Pb", "Te", "Te", "Zn"], "frac_coords": [[0.5000, 0.6814, 0.8590], [0.0000, 0.2276, 0.8417], [0.5000, 0.2354, 0.3327], [0.0000, 0.3557, 0.4666]], "relative_energy_mev_per_atom": 0.0, "sg": "Pm (6)", "final_energy_ev_per_fu": -12.5}


No. 5
{"formula": "ZnTe2Pb", "functional": "PBE-GGA", "state": "relaxed", "lattice_angstrom": [[-2.5354, -7.9568, -3.4470], [0.6586, -8.9910, -0.5912], [-3.4499, -8.3064, 0.8505]], "species": ["Pb", "Te", "Te", "Zn"], "frac_coords": [[0.7438, 0.7438, 0.7438], [0.0133, 0.0133, 0.0133], [0.2139, 0.2139, 0.2139], [0.5291, 0.5291, 0.5291]], "relative_energy_mev_per_atom": 78.3, "sg": "R3m (160)", "final_energy_ev_per_fu": -12.2}


No. 6
{"formula": "Zn2TePb", "functional": "PBE-GGA", "state": "relaxed", "lattice_angstrom": [[-1.1333, 6.5498, 0.2619], [-3.9538, -0.4710, -5.3290], [-6.9142, 2.1503, 0.7877]], "species": ["Pb", "Pb", "Zn", "Zn", "Zn", "Zn", "Te", "Te"], "frac_coords": [[0.0000, 0.0000, 0.0000], [0.7500, 0.2500, 0.5000], [0.6117, 0.1250, 0.2500], [0.1383, 0.6250, 0.2500], [0.3750, 0.3883, 0.7500], [0.8750, 0.8617, 0.7500], [0.5000, 0.5000, 0.0000], [0.2500, 0.7500, 0.5000]], "relative_energy_mev_per_atom": 99.5, "sg": "I-42d (122)", "final_energy_ev_per_fu": -9.2, "n_ef_per_ev_fu": 0.31}


No. 7
{"formula": "ZnTePb2", "functional": "PBE-GGA", "state": "relaxed", "lattice_angstrom": [[0.0000, 3.8656, 3.8656], [3.8656, 0.0000, 3.8656], [3.8656, 3.8656, 0.0000]], "species": ["Pb", "Pb", "Zn", "Te"], "frac_coords": [[0.2500, 0.2500, 0.2500], [0.7500, 0.7500, 0.7500], [0.0000, 0.0000, 0.0000], [0.5000, 0.5000, 0.5000]], "relative_energy_mev_per_atom": 127.4, "sg": "Fm-3m (225)", "final_energy_ev_per_fu": -11.5, "n_ef_per_ev_fu": 2.57}


No. 8
{"formula": "Zn2TePb", "functional": "PBE-GGA", "state": "relaxed", "lattice_angstrom": [[3.8334, 0.0000, 0.0000], [0.0000, 3.8334, 0.0000], [0.0000, 0.0000, 6.5721]], "species": ["Pb", "Te", "Zn", "Zn"], "frac_coords": [[0.5000, 0.5000, 0.2500], [0.5000, 0.5000, 0.7500], [0.0000, 0.0000, 0.9711], [0.0000, 0.0000, 0.5289]], "relative_energy_mev_per_atom": 173.4, "sg": "P4/mmm (123)", "final_energy_ev_per_fu": -8.9, "n_ef_per_ev_fu": 2.84}


ΔE_f (raw) values (in meV/atom) by entry order: 124, 150, 73, -310, -232, 61, 93, 135.